DFT (GGA-PBE) results for an optimized crystal structure of Er2RhCl.

The structure in CIF format:
```
data_Er2RhCl
_cell_length_a 3.9201
_cell_length_b 3.9201
_cell_length_c 7.7192
_cell_angle_alpha 75.29
_cell_angle_beta 75.29
_cell_angle_gamma 60.00
_space_group_name_H-M_alt 'P 1'
_space_group_IT_number 1
loop_
_space_group_symop_operation_xyz
'x,y,z'
loop_
_atom_site_label
_atom_site_type_symbol
_atom_site_fract_x
_atom_site_fract_y
_atom_site_fract_z
Er1 Er 0.2661 0.2661 0.2016
Cl1 Cl 0.5000 0.5000 0.5000
Er2 Er 0.7339 0.7339 0.7984
Rh1 Rh 0.0000 0.0000 0.0000
```

energy relative to the elements, uncorrected	-1.186	eV per atom
calculated total energy	-5.77	eV per atom
magnetic moment	0.0	μB per formula unit
Fermi-level density of states	0.73	states/eV per cell
symmetry	R-3m, No. 166